PBE CdMo4Pb, relaxed; energy relative to the elements = 0.60 eV per atom; calculated volume = 18.7 Å³/atom
1.0
0.000 3.826 3.826
3.826 0.000 3.826
3.826 3.826 0.000
Pb Mo Cd
1 4 1
Cartesian
5.739 5.739 5.739 Pb
4.794 2.857 4.794 Mo
2.857 4.794 4.794 Mo
4.794 4.794 2.857 Mo
2.857 2.857 2.857 Mo
0.000 0.000 0.000 Cd



PBE InAu2Se, relaxed; excess energy over the best structure of this formula in the dataset = 186 meV/atom; energy relative to the elements, uncorrected = 0.3 eV/f.u.; calculated volume = 21.1 Å³/atom
1.0
2.885 0.000 0.000
0.000 3.934 0.000
0.000 0.000 7.429
Au Se In
2 1 1
Cartesian
1.443 1.967 1.770 Au
0.000 0.000 0.056 Au
1.443 1.967 5.760 Se
0.000 0.000 3.557 In



PBE Ac3TmGe6, relaxed; energy relative to the elements = -0.61 eV per atom; calculated volume = 26.4 Å³/atom
1.0
-8.013 -1.205 -1.120
2.752 -4.365 -6.347
1.222 -5.557 5.877
Ge Ac Tm
12 6 2
Cartesian
-4.610 -8.610 -3.207 Ge
0.327 -1.855 -2.392 Ge
-4.366 -9.272 0.802 Ge
-4.769 -6.515 -1.694 Ge
-3.028 -3.387 1.081 Ge
-1.011 -7.739 -2.671 Ge
-2.862 -1.040 0.003 Ge
0.571 -2.517 1.617 Ge
-2.243 -7.847 1.207 Ge
-1.796 -3.280 -2.797 Ge
0.730 -4.612 0.104 Ge
-1.177 -10.087 -1.593 Ge
-5.017 -5.874 1.517 Ac
-1.112 -5.351 2.887 Ac
0.978 -5.253 -3.107 Ac
0.876 -7.822 0.178 Ac
-4.915 -3.305 -1.768 Ac
-2.927 -5.776 -4.477 Ac
-2.020 -5.563 -0.795 Tm
0.000 0.000 0.000 Tm



PBE FeNi2, relaxed; energy relative to the elements = 0.10 eV per atom; calculated volume = 11.6 Å³/atom
1.0
-8.136 -7.397 2.851
-7.867 -5.677 5.910
6.775 7.681 -4.915
Ni Fe
4 2
Cartesian
-6.742 -5.508 3.691 Ni
-9.261 -7.566 5.070 Ni
-3.287 -1.238 1.998 Ni
-5.806 -3.296 3.377 Ni
0.000 0.000 0.000 Fe
-4.681 -3.127 1.158 Fe



PBE GdCuSb, relaxed; energy relative to the elements, uncorrected = -1.0 eV/f.u.; calculated volume = 24.2 Å³/atom
1.0
4.103 0.000 0.000
0.000 4.103 0.000
-2.052 -2.052 4.311
Gd Cu Sb
1 1 1
Cartesian
2.052 2.052 0.958 Gd
0.000 0.000 2.364 Cu
2.052 2.052 4.006 Sb



PBE ReC2, relaxed; excess energy over the best structure of this formula in the dataset = 425 meV/atom; energy relative to the elements = 0.86 eV per atom; calculated volume = 17.3 Å³/atom
1.0
2.520 0.000 0.000
-1.260 2.182 0.000
0.000 0.000 9.434
C Re
2 1
Cartesian
1.260 0.727 4.717 C
0.000 1.455 4.717 C
0.000 0.000 0.000 Re



The highest calculated volume belongs to which entry?
Ac3TmGe6